Computed, not measured: a geometry-optimized CoCu2Au structure at the PBE-GGA level of DFT.

Cell: 4.574 4.574 4.574 Å, 130.89 130.89 71.99°
Site moments in Bohr magnetons follow the coordinates.
Element x y z (fractional)
Au (0.250, 0.750, 0.500)  0.00
Cu (0.500, 0.500, 0.000)  0.04
Co (0.750, 0.250, 0.500)  1.58
Cu (0.000, 0.000, 0.000)  0.04

Properties
calculated formation energy: 164 meV per atom
magnetization: 1.62 μB/f.u.
total energy: -4.480 eV/atom



Computed, not measured: a geometry-optimized Ta2IrRu structure at the PBE-GGA level of DFT.

Cell: 4.500 4.500 4.500 Å, 60.00 60.00 60.00°
Site moments in Bohr magnetons follow the coordinates.
Element x y z (fractional)
Ru (0.750, 0.750, 0.750)  0.57
Ta (0.000, 0.000, 0.000)  -0.05
Ta (0.250, 0.250, 0.250)  0.00
Ir (0.500, 0.500, 0.500)  0.34

Properties
calculated formation energy: -120 meV per atom
magnetization: 0.88 μB/f.u.
total energy: -10.580 eV/atom



Computed, not measured: a geometry-optimized Ba2LiSiO structure at the PBE-GGA level of DFT.

Cell: 5.660 5.660 4.001 Å, 90.00 90.00 90.00°
Element x y z (fractional)
Li (0.000, 0.000, 0.500)
Ba (0.500, 0.000, 0.000)
Si (0.500, 0.500, 0.500)
Ba (0.000, 0.500, 0.000)
O (0.000, 0.000, 0.000)

Properties
magnetization: 0.00 μB/f.u.
ΔE_f (raw): -104 kJ per mole of atoms
total energy: -4.306 eV/atom



Computed, not measured: a geometry-optimized HfAlGe3 structure at the PBE-GGA level of DFT.

Cell: 4.786 4.786 4.786 Å, 90.00 90.00 90.00°
Element x y z (fractional)
Hf (0.500, 0.500, 0.500)
Al (0.000, 0.000, 0.000)
Ge (0.000, 0.500, 0.000)
Ge (0.000, 0.000, 0.500)
Ge (0.500, 0.000, 0.000)

Properties
calculated formation energy: 699 meV per atom
excess energy over the best structure of this formula in the dataset: 0.161 eV/atom
magnetization: 0.00 μB/f.u.
total energy: -4.811 eV/atom